No. 1
This record from Alexandria via LeMat-Bulk describes a relaxed SrLiDy2Au4 crystal. The functional is PBE.

Properties
Energy of formation in eV per formula unit: -5.73
Total energy in eV/atom: -3.955
M_tot in μB per cell: 0.000

```
SrLiDy2Au4
1.0
4.9850 0.0000 0.0000
2.4925 4.3172 0.0000
2.4925 1.4391 8.8925
Li Dy Au Sr
1 2 4 1
direct
0.5000 0.5000 0.5000
0.7663 0.7663 0.7012
0.2337 0.2337 0.2988
0.1229 0.1229 0.6313
0.3985 0.3985 0.8046
0.6015 0.6015 0.1954
0.8771 0.8771 0.3687
0.0000 0.0000 0.0000
```



No. 2
This record from Alexandria via LeMat-Bulk describes a relaxed LiTbDy2Au4 crystal. The functional is PBE.

Properties
Energy of formation in eV per formula unit: -6.23
Total energy in eV/atom: -4.386
M_tot in μB per cell: 0.000

```
LiTbDy2Au4
1.0
5.0000 0.0000 0.0000
2.5000 4.3301 0.0000
2.5000 1.4434 8.1723
Dy Au Li Tb
2 4 1 1
direct
0.2434 0.2434 0.2697
0.7566 0.7566 0.7303
0.8782 0.8782 0.3655
0.1218 0.1218 0.6345
0.3727 0.3727 0.8818
0.6273 0.6273 0.1182
0.5000 0.5000 0.5000
0.0000 0.0000 0.0000
```



No. 3
This record from Alexandria via LeMat-Bulk describes a relaxed LiDyThAu crystal. The functional is PBE.

Properties
Energy of formation in eV per formula unit: -0.90
Total energy in eV/atom: -4.527
M_tot in μB per cell: 0.415

```
LiDyThAu
1.0
5.1859 0.0000 0.0000
2.5930 4.4912 0.0000
2.5930 1.4971 4.2343
Dy Th Au Li
1 1 1 1
direct
0.2500 0.2500 0.2500
0.7500 0.7500 0.7500
0.0000 0.0000 0.0000
0.5000 0.5000 0.5000
```



No. 4
This record from Alexandria via LeMat-Bulk describes a relaxed LiDyTlAu crystal. The functional is PBE.

Properties
Energy of formation in eV per formula unit: -1.97
Total energy in eV/atom: -3.532
M_tot in μB per cell: 0.000

```
LiDyTlAu
1.0
4.9846 0.0000 0.0000
2.4923 4.3168 0.0000
2.4923 1.4389 4.0699
Tl Li Au Dy
1 1 1 1
direct
0.5000 0.5000 0.5000
0.2500 0.2500 0.2500
0.0000 0.0000 0.0000
0.7500 0.7500 0.7500
```



No. 5
This record from Alexandria via LeMat-Bulk describes a relaxed Li2DyTmAu4 crystal. The functional is PBE.

Properties
Energy of formation in eV per formula unit: -5.78
Total energy in eV/atom: -3.974
M_tot in μB per cell: 0.000

```
Li2DyTmAu4
1.0
-3.5013 -0.5644 3.3425
-1.2249 -4.4669 1.5154
3.7378 -1.2197 7.2622
Au Dy Li Tm
4 1 2 1
direct
0.1284 0.1284 0.6149
0.6263 0.6263 0.1212
0.3737 0.3737 0.8788
0.8716 0.8716 0.3851
0.0000 0.0000 0.0000
0.2499 0.2499 0.2503
0.7501 0.7501 0.7497
0.5000 0.5000 0.5000
```



No. 6
This record from Alexandria via LeMat-Bulk describes a relaxed Li2DyYAu4 crystal. The functional is PBE.

Properties
Energy of formation in eV per formula unit: -5.71
Total energy in eV/atom: -4.214
M_tot in μB per cell: 0.000

```
Li2DyYAu4
1.0
-1.5920 -4.3365 -1.6796
2.2702 -2.1502 -3.7926
4.9961 -5.8233 3.1068
Li Dy Au Y
2 1 4 1
direct
0.2502 0.2502 0.2495
0.7498 0.7498 0.7505
0.5000 0.5000 0.5000
0.6276 0.6276 0.1171
0.1285 0.1285 0.6145
0.3724 0.3724 0.8829
0.8715 0.8715 0.3855
0.0000 0.0000 0.0000
```



No. 7
This record from Alexandria via LeMat-Bulk describes a relaxed LiDyYAu crystal. The functional is PBE.

Properties
Energy of formation in eV per formula unit: -1.65
Total energy in eV/atom: -4.477
M_tot in μB per cell: 0.000

```
LiDyYAu
1.0
-3.2912 2.3722 -3.1020
0.8863 0.1532 -5.0272
-2.9155 -2.7202 -3.1909
Li Y Au Dy
1 1 1 1
direct
0.5000 0.5000 0.5000
0.7500 0.7500 0.7500
0.0000 0.0000 0.0000
0.2500 0.2500 0.2500
```



No. 8
This record from Alexandria via LeMat-Bulk describes a relaxed LiDy2YAu4 crystal. The functional is PBE.

Properties
Energy of formation in eV per formula unit: -6.24
Total energy in eV/atom: -4.617
M_tot in μB per cell: 0.000

```
LiDy2YAu4
1.0
4.9897 0.0000 0.0000
2.4948 4.3212 0.0000
2.4948 1.4404 8.1885
Y Li Au Dy
1 1 4 2
direct
0.0000 0.0000 0.0000
0.5000 0.5000 0.5000
0.3723 0.3723 0.8830
0.6277 0.6277 0.1170
0.1223 0.1223 0.6331
0.8777 0.8777 0.3669
0.2438 0.2438 0.2686
0.7562 0.7562 0.7314
```



No. 9
This record from Alexandria via LeMat-Bulk describes a relaxed LiDyZn2Au2 crystal. The functional is PBE.

Properties
Energy of formation in eV per formula unit: -3.29
Total energy in eV/atom: -3.152
M_tot in μB per cell: 0.000

```
LiDyZn2Au2
1.0
4.5154 0.0000 0.0000
-2.2577 3.9105 0.0000
0.0000 0.0000 6.3587
Zn Dy Au Li
2 1 2 1
direct
0.6667 0.3333 0.6952
0.3333 0.6667 0.3048
0.0000 0.0000 0.0000
0.6667 0.3333 0.2634
0.3333 0.6667 0.7366
0.0000 0.0000 0.5000
```



No. 10
This record from Alexandria via LeMat-Bulk describes a relaxed LiDy2ZnAu4 crystal. The functional is PBE.

Properties
Energy of formation in eV per formula unit: -5.43
Total energy in eV/atom: -3.867
M_tot in μB per cell: 0.000

```
LiDy2ZnAu4
1.0
4.9347 0.0000 0.0000
2.4674 4.2736 0.0000
2.4674 1.4245 7.6326
Dy Au Li Zn
2 4 1 1
direct
0.2531 0.2531 0.2408
0.7469 0.7469 0.7592
0.1225 0.1225 0.6326
0.6179 0.6179 0.1464
0.3821 0.3821 0.8536
0.8775 0.8775 0.3674
0.5000 0.5000 0.5000
0.0000 0.0000 0.0000
```



No. 11
This record from Alexandria via LeMat-Bulk describes a relaxed LiDyZn2Au4 crystal. The functional is PBE.

Properties
Energy of formation in eV per formula unit: -4.23
Total energy in eV/atom: -3.301
M_tot in μB per cell: 0.000

```
LiDyZn2Au4
1.0
4.5307 0.0000 0.0000
2.2654 3.9237 0.0000
2.2654 1.3079 8.1284
Zn Au Li Dy
2 4 1 1
direct
0.2441 0.2441 0.2677
0.7559 0.7559 0.7323
0.3935 0.3935 0.8195
0.6065 0.6065 0.1805
0.8710 0.8710 0.3869
0.1290 0.1290 0.6131
0.5000 0.5000 0.5000
0.0000 0.0000 0.0000
```



No. 12
This record from Alexandria via LeMat-Bulk describes a relaxed LiDyZnAu crystal. The functional is PBE.

Properties
Energy of formation in eV per formula unit: -1.88
Offset from the most stable computed form in meV per atom: 0.0
Total energy in eV/atom: -3.236
M_tot in μB per cell: 0.000

```
LiDyZnAu
1.0
-0.9903 -3.7954 -2.7995
3.2020 -1.4697 -3.2878
2.3736 -4.1458 0.6333
Dy Au Li Zn
1 1 1 1
direct
0.7500 0.7500 0.7500
0.5000 0.5000 0.5000
0.2500 0.2500 0.2500
0.0000 0.0000 0.0000
```



No. 13
This record from Alexandria via LeMat-Bulk describes a relaxed Li2DyZnAu4 crystal. The functional is PBE.

Properties
Energy of formation in eV per formula unit: -4.54
Total energy in eV/atom: -3.419
M_tot in μB per cell: 0.000

```
Li2DyZnAu4
1.0
4.5134 0.0000 0.0000
2.2567 3.9087 0.0000
2.2567 1.3029 8.2475
Au Li Dy Zn
4 2 1 1
direct
0.3937 0.3937 0.8190
0.8729 0.8729 0.3814
0.1271 0.1271 0.6186
0.6063 0.6063 0.1810
0.2398 0.2398 0.2807
0.7602 0.7602 0.7193
0.0000 0.0000 0.0000
0.5000 0.5000 0.5000
```



No. 14
This record from Alexandria via LeMat-Bulk describes a relaxed LiDyZnAu crystal. The functional is PBE.

Properties
Energy of formation in eV per formula unit: -1.80
Offset from the most stable computed form in meV per atom: 19.4
Total energy in eV/atom: -3.217
M_tot in μB per cell: 0.000

```
LiDyZnAu
1.0
4.5469 0.0000 0.0000
0.0000 4.5472 -0.0013
-2.2735 -2.2747 3.6805
Li Dy Zn Au
1 1 1 1
direct
0.5000 0.5002 0.0000
0.2500 0.7502 0.5000
0.7500 0.2496 0.5000
0.0000 0.0000 0.0000
```



No. 15
This record from Alexandria via LeMat-Bulk describes a relaxed DyLuAu crystal. The functional is PBE.

Properties
Energy of formation in eV per formula unit: -1.42
Offset from the most stable computed form in meV per atom: 74.7
Total energy in eV/atom: -4.607
M_tot in μB per cell: 0.001

```
DyLuAu
1.0
-0.1623 -4.7243 -1.3648
2.9347 -1.6228 -3.6003
3.7590 -2.9951 1.0521
Au Lu Dy
1 1 1
direct
0.2500 0.2500 0.2500
0.0000 0.0000 0.0000
0.5000 0.5000 0.5000
```



No. 16
This record from Alexandria via LeMat-Bulk describes a relaxed DyLuAu crystal. The functional is PBE.

Properties
Energy of formation in eV per formula unit: -1.31
Offset from the most stable computed form in meV per atom: 112.8
Total energy in eV/atom: -4.569
M_tot in μB per cell: 0.000

```
DyLuAu
1.0
-3.5856 -0.9463 0.7128
1.4575 -4.3879 1.5066
-0.3384 3.6711 3.1712
Dy Lu Au
1 1 1
direct
0.6075 0.6667 0.3333
0.0862 0.0000 0.0000
0.3063 0.3333 0.6667
```



No. 17
This record from Alexandria via LeMat-Bulk describes a relaxed DyLuAu2 crystal. The functional is PBE.

Properties
Energy of formation in eV per formula unit: -3.49
Offset from the most stable computed form in meV per atom: 6.3
Total energy in eV/atom: -4.792
M_tot in μB per cell: 0.000

```
DyLuAu2
1.0
-2.2539 -4.1816 -1.6930
-1.0675 -3.7572 3.1901
-4.7902 -0.9642 1.2477
Lu Dy Au
1 1 2
direct
0.5000 0.5000 0.5000
0.0000 0.0000 0.0000
0.7500 0.7500 0.7500
0.2500 0.2500 0.2500
```



No. 18
This record from Alexandria via LeMat-Bulk describes a relaxed DyLuAu crystal. The functional is PBE.

Properties
Energy of formation in eV per formula unit: -1.65
Offset from the most stable computed form in meV per atom: 0.0
Total energy in eV/atom: -4.682
M_tot in μB per cell: 0.866

```
DyLuAu
1.0
-3.3363 1.2351 0.2300
0.1594 -0.2313 3.5540
3.7048 5.1638 -1.6181
Dy Lu Au
1 1 1
direct
0.0183 0.0183 0.0366
0.3089 0.3089 0.6178
0.6728 0.6728 0.3456
```



No. 19
This record from Alexandria via LeMat-Bulk describes a relaxed DyLuAu2 crystal. The functional is PBE.

Properties
Energy of formation in eV per formula unit: -3.52
Offset from the most stable computed form in meV per atom: 0.0
Total energy in eV/atom: -4.798
M_tot in μB per cell: 0.001

```
DyLuAu2
1.0
-2.4343 2.3694 0.9841
-1.5582 -0.2877 -3.1619
-4.1645 -5.3325 2.5374
Lu Au Dy
1 2 1
direct
0.5000 0.5000 0.0000
0.0000 0.0000 0.2384
0.0000 0.0000 0.7616
0.5000 0.5000 0.5000
```



No. 20
This record from Alexandria via LeMat-Bulk describes a relaxed DyLuMgAu crystal. The functional is PBE.

Properties
Energy of formation in eV per formula unit: -1.66
Total energy in eV/atom: -3.914
M_tot in μB per cell: 0.001

```
DyLuMgAu
1.0
-2.9520 -1.6527 3.8715
-3.8983 -3.2197 -0.9330
0.2851 -4.8967 1.5410
Mg Lu Au Dy
1 1 1 1
direct
0.5000 0.5000 0.5000
0.7500 0.7500 0.7500
0.0000 0.0000 0.0000
0.2500 0.2500 0.2500
```